# 1
CaHo2Pt9: relaxed, GGA-PBE.

Cell lengths 5.425, 5.425, 9.345 Å; angles 73.13, 73.13, 60.00 degrees
Fractional coordinates of all 12 atoms:
Pt1 0.081 0.588 0.743
Pt2 0.588 0.081 0.743
Pt3 0.667 0.667 0.998
Pt4 0.588 0.588 0.743
Pt5 0.412 0.919 0.257
Pt6 0.919 0.412 0.257
Pt7 0.500 0.500 0.500
Pt8 0.333 0.333 0.002
Pt9 0.412 0.412 0.257
Ca1 0.000 0.000 0.000
Ho1 0.139 0.139 0.582
Ho2 0.861 0.861 0.418

Properties
Space group   R-3m
Energy of formation from the pure elements   -84.91 kJ/mol of atoms

=====

# 2
CaHoPt2: relaxed, GGA-PBE.

Cell lengths 3.471, 3.471, 7.044 Å; angles 90.00, 90.00, 90.00 degrees
Fractional coordinates of all 4 atoms:
Pt1 0.000 0.000 0.230
Pt2 0.000 0.000 0.770
Ca1 0.500 0.500 0.500
Ho1 0.500 0.500 0.000

Properties
Excess energy over the best structure of this formula in the dataset   0.000 eV/atom
Space group   P4/mmm
Energy of formation from the pure elements   -108.31 kJ/mol of atoms

=====

Please write out number 2 again, unchanged.
CaHoPt2: relaxed, GGA-PBE.

Cell lengths 3.471, 3.471, 7.044 Å; angles 90.00, 90.00, 90.00 degrees
Fractional coordinates of all 4 atoms:
Pt1 0.000 0.000 0.230
Pt2 0.000 0.000 0.770
Ca1 0.500 0.500 0.500
Ho1 0.500 0.500 0.000

Properties
Excess energy over the best structure of this formula in the dataset   0.000 eV/atom
Space group   P4/mmm
Energy of formation from the pure elements   -108.31 kJ/mol of atoms